## Re3TeC (PBE)

Data for Re3TeC after structural relaxation.

The structure in POSCAR format:
```
Re3TeC
1.0
4.8222 0.0000 0.0000
0.0000 4.8222 0.0000
0.0000 0.0000 4.8222
Re Te C
3 1 1
direct
0.0000 0.0000 0.5000 Re
0.0000 0.5000 0.0000 Re
0.5000 0.0000 0.0000 Re
0.0000 0.0000 0.0000 Te
0.5000 0.5000 0.5000 C
```

Summary:
E above lowest polymorph = 3111 meV per atom
VASP energy = -0.4411 Ry/atom
V = 112.1 Å³/cell
Energy relative to the elements, uncorrected = 3.94 eV/atom